Compound: TbAgPd6
Source: Alexandria via LeMat-Bulk
Functional: GGA-PBE
Structure: relaxed

Lattice parameters (Å, degrees): 5.4444 5.4444 5.4444 84.79 84.79 84.79
Atoms (fractional coordinates):
1 Pd 0.1612 0.1612 0.5315
2 Ag 0.5000 0.5000 0.5000
3 Tb 0.0000 0.0000 0.0000
4 Pd 0.5315 0.1612 0.1612
5 Pd 0.8388 0.4685 0.8388
6 Pd 0.1612 0.5315 0.1612
7 Pd 0.8388 0.8388 0.4685
8 Pd 0.4685 0.8388 0.8388

## Properties
For the energy relative to the elements, the calculation gives 46 meV per atom. The spin magnetization comes out at 0.000 μB per formula unit.